Entry 1:
# K2LiSc

A geometry-optimized K2LiSc structure (PBE, the Alexandria database).

Geometry as POSCAR:
```
K2LiSc
1.0
6.881 0.000 0.000
0.000 6.881 0.000
0.000 0.000 3.600
K Li Sc
2 1 1
direct
0.000 0.500 0.000 K
0.500 0.000 0.000 K
0.000 0.000 0.500 Li
0.500 0.500 0.500 Sc
```

formation energy from the elements	0.60	eV per atom
electronic total energy	-2.008	eV/atom
total magnetic moment	1.1	μB/f.u.
SG	No. 123



Entry 2:
# Tl4Cu2Os

A geometry-optimized Tl4Cu2Os structure (PBE, the Alexandria database).

Geometry as POSCAR:
```
Tl4Cu2Os
1.0
-2.698 2.698 6.436
2.698 -2.698 6.436
2.698 2.698 -6.436
Tl Cu Os
4 2 1
direct
0.000 0.500 0.500 Tl
0.206 0.206 0.000 Tl
0.500 0.000 0.500 Tl
0.794 0.794 0.000 Tl
0.406 0.406 0.000 Cu
0.594 0.594 0.000 Cu
0.000 0.000 0.000 Os
```

formation energy from the elements	0.59	eV per atom
electronic total energy	-3.538	eV/atom
total magnetic moment	0.0	μB/f.u.
SG	No. 139



Entry 3:
# MgNb2Sb

A geometry-optimized MgNb2Sb structure (PBE, the Alexandria database).

Geometry as POSCAR:
```
MgNb2Sb
1.0
-3.804 3.804 2.909
3.804 -3.804 2.909
3.804 3.804 -2.909
Mg Nb Sb
2 4 2
direct
0.000 0.000 0.000 Mg
0.750 0.250 0.500 Mg
0.135 0.625 0.010 Nb
0.375 0.385 0.510 Nb
0.615 0.125 0.990 Nb
0.875 0.865 0.490 Nb
0.250 0.750 0.500 Sb
0.500 0.500 0.000 Sb
```

electronic total energy	-6.025	eV/atom
ΔE to the lowest computed polymorph	172.8	meV per atom
total magnetic moment	0.0	μB/f.u.
SG	No. 122
E_form (uncorrected)	42.3	kJ per mole of atoms



Entry 4:
# BaZrHg

A geometry-optimized BaZrHg structure (PBE, the Alexandria database).

Geometry as POSCAR:
```
BaZrHg
1.0
4.879 0.000 0.000
-2.439 4.225 0.000
0.000 0.000 5.055
Ba Zr Hg
1 1 1
direct
0.000 0.000 0.000 Ba
0.667 0.333 0.500 Zr
0.333 0.667 0.500 Hg
```

formation energy from the elements	0.21	eV per atom
electronic total energy	-3.384	eV/atom
ΔE to the lowest computed polymorph	248.8	meV per atom
total magnetic moment	0.2	μB/f.u.
SG	No. 187



What is the electronic total energy in the fourth record? -3.384 eV/atom



Which value of total magnetic moment does entry 2 give? 0.0 μB/f.u.



The highest total magnetic moment belongs to which entry? K2LiSc



Please write out number 1 again, unchanged.
# K2LiSc

A geometry-optimized K2LiSc structure (PBE, the Alexandria database).

Geometry as POSCAR:
```
K2LiSc
1.0
6.881 0.000 0.000
0.000 6.881 0.000
0.000 0.000 3.600
K Li Sc
2 1 1
direct
0.000 0.500 0.000 K
0.500 0.000 0.000 K
0.000 0.000 0.500 Li
0.500 0.500 0.500 Sc
```

formation energy from the elements	0.60	eV per atom
electronic total energy	-2.008	eV/atom
total magnetic moment	1.1	μB/f.u.
SG	No. 123